[1]
First-principles (PBE-GGA) data for a relaxed structure of MoPb, as listed in Alexandria.

Summary:
Total magnetization = 0.0 μB/cell
Volume = 40.7 Å³ per cell
DFT formation energy = 0.80 eV per atom
Raw total energy = -6.467 eV per atom
DOS at the Fermi energy = 1.89 states/eV/f.u.

Cell lengths 3.2854, 3.2854, 4.3500 Å; angles 90.00, 90.00, 120.00 degrees
With the nearest neighbours (Å) after each atom.
Element x y z (fractional)
Mo1 0.0000 0.0000 0.0000  6 Pb 2.89
Pb1 0.3333 0.6667 0.5000  6 Mo 2.89

[2]
First-principles (PBE-GGA) data for a relaxed structure of ThVFe10, as listed in Alexandria.

Summary:
Total magnetization = 16.6 μB/cell
Volume = 163.5 Å³ per cell
DFT formation energy = 0.08 eV per atom
Raw total energy = -8.346 eV per atom
DOS at the Fermi energy = 12.86 states/eV/f.u.

Cell lengths 4.0512, 4.8292, 8.3589 Å; angles 90.00, 90.00, 90.00 degrees
With the nearest neighbours (Å) after each atom.
Element x y z (fractional)
Fe1 0.5000 0.2537 0.7368  8 Fe 2.33-2.50
Fe2 0.0000 0.5000 0.1992  6 Fe 2.41-2.62, 1 V 2.51
Fe3 0.5000 0.7463 0.7368  8 Fe 2.33-2.50
Fe4 0.5000 0.7463 0.2632  8 Fe 2.33-2.50
Fe5 0.0000 0.0000 0.3493  7 Fe 2.39-2.52
Fe6 0.5000 0.5000 0.0000  8 Fe 2.50-2.62
Fe7 0.5000 0.2537 0.2632  8 Fe 2.33-2.50
Fe8 0.0000 0.0000 0.6507  7 Fe 2.39-2.52
Fe9 0.0000 0.5000 0.8008  6 Fe 2.41-2.62, 1 V 2.51
Fe10 0.5000 0.0000 0.5000  8 Fe 2.33-2.39
V1 0.0000 0.5000 0.5000  6 Fe 2.51-2.72
Th1 0.0000 0.0000 0.0000  18 Fe 2.92-3.23

[3]
First-principles (PBE-GGA) data for a relaxed structure of Sm6Ir2Pd, as listed in Alexandria.

Summary:
Total magnetization = 0.0 μB/cell
Volume = 509.5 Å³ per cell
DFT formation energy = -0.53 eV per atom
Raw total energy = -6.222 eV per atom
DOS at the Fermi energy = 9.20 states/eV/f.u.

Cell lengths 6.7985, 7.3323, 10.2534 Å; angles 90.00, 94.53, 90.00 degrees
With the nearest neighbours (Å) after each atom.
Element x y z (fractional)
Sm1 0.1712 0.0549 0.7572  1 Pd 2.83, 2 Ir 2.85-2.89
Sm2 0.3288 0.5549 0.7428  1 Pd 2.83, 2 Ir 2.85-2.89
Sm3 0.6823 0.1699 0.9145  2 Ir 2.88-2.96, 1 Pd 2.89
Sm4 0.3389 0.8168 0.4315  1 Pd 2.80, 1 Ir 2.84
Sm5 0.1823 0.3301 0.4145  2 Ir 2.88-2.96, 1 Pd 2.89
Sm6 0.6712 0.4451 0.2572  1 Pd 2.83, 2 Ir 2.85-2.89
Sm7 0.8177 0.6699 0.5855  2 Ir 2.88-2.96, 1 Pd 2.89
Sm8 0.3177 0.8301 0.0855  2 Ir 2.88-2.96, 1 Pd 2.89
Sm9 0.8288 0.9451 0.2428  1 Pd 2.83, 2 Ir 2.85-2.89
Sm10 0.8389 0.6832 0.9315  1 Pd 2.80, 1 Ir 2.84
Sm11 0.6611 0.1832 0.5685  1 Pd 2.80, 1 Ir 2.84
Sm12 0.1611 0.3168 0.0685  1 Pd 2.80, 1 Ir 2.84
Ir1 0.4528 0.1150 0.2770  6 Sm 2.84-3.17
Ir2 0.5472 0.8850 0.7230  6 Sm 2.84-3.17
Ir3 0.0472 0.6150 0.2230  6 Sm 2.84-3.17
Ir4 0.9528 0.3850 0.7770  6 Sm 2.84-3.17
Pd1 0.0000 0.0000 0.5000  6 Sm 2.80-2.89
Pd2 0.5000 0.5000 0.0000  6 Sm 2.80-2.89

[4]
First-principles (PBE-GGA) data for a relaxed structure of SiBi2S, as listed in Alexandria.

Summary:
Total magnetization = 0.0 μB/cell
E_form (uncorrected) = 316 meV per atom
Volume = 93.8 Å³ per cell
Raw total energy = -4.012 eV per atom
DOS at the Fermi energy = 1.83 states/eV/f.u.

Cell lengths 5.0997, 5.0997, 5.0997 Å; angles 60.00, 60.00, 60.00 degrees
With the nearest neighbours (Å) after each atom.
Element x y z (fractional)
Bi1 0.7500 0.7500 0.7500  4 S 3.12, 4 Si 3.12
Bi2 0.2500 0.2500 0.2500  4 S 3.12, 4 Si 3.12
Si1 0.0000 0.0000 0.0000  8 Bi 3.12
S1 0.5000 0.5000 0.5000  8 Bi 3.12

[5]
First-principles (PBE-GGA) data for a relaxed structure of ScCuPd, as listed in Alexandria.

Summary:
Total magnetization = 0.0 μB/cell
Volume = 48.8 Å³ per cell
DFT formation energy = -0.57 eV per atom
Raw total energy = -5.780 eV per atom
DOS at the Fermi energy = 2.19 states/eV/f.u.

Cell lengths 3.3865, 3.3865, 4.8852 Å; angles 110.28, 110.28, 90.00 degrees
With the nearest neighbours (Å) after each atom.
Element x y z (fractional)
Cu1 0.2853 0.2853 0.5706  5 Pd 2.77-2.86, 5 Sc 2.80-2.81
Pd1 0.9492 0.9492 0.8983  5 Cu 2.77-2.86, 5 Sc 2.78-2.84
Sc1 0.6155 0.6155 0.2310  5 Pd 2.78-2.84, 5 Cu 2.80-2.81

[6]
First-principles (PBE-GGA) data for a relaxed structure of NiTe2H, as listed in Alexandria.

Summary:
Total magnetization = 0.0 μB/cell
Volume = 164.7 Å³ per cell
Raw total energy = -3.581 eV per atom
DOS at the Fermi energy = 3.54 states/eV/f.u.

Cell lengths 5.5439, 5.5439, 6.6400 Å; angles 65.33, 65.33, 90.00 degrees
With the nearest neighbours (Å) after each atom.
Element x y z (fractional)
Te1 0.8750 0.8555 0.7500  2 H 2.31, 2 Ni 2.44
Te2 0.3750 0.3945 0.7500  2 H 2.31, 2 Ni 2.44
Te3 0.6055 0.1250 0.2500  2 H 2.31, 2 Ni 2.44
Te4 0.1445 0.6250 0.2500  2 H 2.31, 2 Ni 2.44
Ni1 0.0000 0.0000 0.0000  4 Te 2.44
Ni2 0.7500 0.2500 0.5000  4 Te 2.44
H1 0.2500 0.7500 0.5000  4 Te 2.31
H2 0.5000 0.5000 0.0000  4 Te 2.31

[7]
First-principles (PBE-GGA) data for a relaxed structure of Ca5Ga2Ge5, as listed in Alexandria.

Summary:
Total magnetization = 0.0 μB/cell
Volume = 288.1 Å³ per cell
DFT formation energy = -0.51 eV per atom
Raw total energy = -3.768 eV per atom
DOS at the Fermi energy = 4.31 states/eV/f.u.

Cell lengths 4.3833, 7.9145, 8.9276 Å; angles 88.83, 75.79, 73.92 degrees
With the nearest neighbours (Å) after each atom.
Element x y z (fractional)
Ge1 0.9366 0.3098 0.8169  2 Ga 2.60, 1 Ge 2.91
Ge2 0.2716 0.7863 0.6704  1 Ga 2.49
Ge3 0.0634 0.6902 0.1831  2 Ga 2.60, 1 Ge 2.91
Ge4 0.0000 0.0000 0.0000  4 Ge 2.91-3.21, 4 Ca 3.11
Ge5 0.7284 0.2137 0.3296  1 Ga 2.49
Ca1 0.6789 0.7185 0.9237  7 Ge 3.11-3.20, 3 Ga 3.13-3.18
Ca2 0.3681 0.9328 0.3309  5 Ge 3.06-3.20, 1 Ga 3.21
Ca3 0.0000 0.5000 0.5000  4 Ga 3.16, 6 Ge 3.17-3.38
Ca4 0.6319 0.0672 0.6691  5 Ge 3.06-3.20, 1 Ga 3.21
Ca5 0.3211 0.2815 0.0763  7 Ge 3.11-3.20, 3 Ga 3.13-3.18
Ga1 0.6214 0.5192 0.2380  3 Ge 2.49-2.60
Ga2 0.3786 0.4808 0.7620  3 Ge 2.49-2.60

[8]
First-principles (PBE-GGA) data for a relaxed structure of YPt3C, as listed in Alexandria.

Summary:
Total magnetization = 0.0 μB/cell
Volume = 80.9 Å³ per cell
DFT formation energy = -0.27 eV per atom
Raw total energy = -7.036 eV per atom
DOS at the Fermi energy = 5.63 states/eV/f.u.

Cell lengths 4.3253, 4.3253, 4.3253 Å; angles 90.00, 90.00, 90.00 degrees
With the nearest neighbours (Å) after each atom.
Element x y z (fractional)
C1 0.0000 0.0000 0.0000  6 Pt 2.16
Y1 0.5000 0.5000 0.5000  12 Pt 3.06
Pt1 0.0000 0.0000 0.5000  2 C 2.16
Pt2 0.0000 0.5000 0.0000  2 C 2.16
Pt3 0.5000 0.0000 0.0000  2 C 2.16

[9]
First-principles (PBE-GGA) data for a relaxed structure of AlSi5Ni, as listed in Alexandria.

Summary:
Total magnetization = 0.0 μB/cell
E_form (uncorrected) = 154 meV per atom
Volume = 102.5 Å³ per cell
Raw total energy = -5.080 eV per atom
DOS at the Fermi energy = 2.59 states/eV/f.u.

Cell lengths 3.7064, 3.7064, 7.4582 Å; angles 90.00, 90.00, 90.00 degrees
With the nearest neighbours (Å) after each atom.
Element x y z (fractional)
Si1 0.5000 0.0000 0.6987  2 Ni 2.37, 4 Si 2.62
Si2 0.5000 0.5000 0.0000  4 Al 2.62, 8 Si 2.91
Si3 0.5000 0.0000 0.3013  2 Ni 2.37, 4 Si 2.62
Si4 0.0000 0.5000 0.3013  2 Ni 2.37, 4 Si 2.62
Si5 0.0000 0.5000 0.6987  2 Ni 2.37, 4 Si 2.62
Al1 0.0000 0.0000 0.0000  12 Si 2.62-2.91
Ni1 0.0000 0.0000 0.5000  8 Si 2.37

[10]
First-principles (PBE-GGA) data for a relaxed structure of Zn2MoPSe, as listed in Alexandria.

Summary:
Total magnetization = 0.0 μB/cell
E_form (uncorrected) = 741 meV per atom
Volume = 115.7 Å³ per cell
Raw total energy = -3.713 eV per atom
DOS at the Fermi energy = 4.89 states/eV/f.u.

Cell lengths 5.0679, 4.5067, 5.0679 Å; angles 90.00, 90.00, 90.00 degrees
With the nearest neighbours (Å) after each atom.
Element x y z (fractional)
Se1 0.5000 0.5000 0.5000  8 Zn 3.39, 4 P 3.58
P1 0.0000 0.5000 0.0000  2 Mo 2.25
Zn1 0.5000 0.0000 0.0000  2 Mo 2.53
Zn2 0.0000 0.0000 0.5000  2 Mo 2.53
Mo1 0.0000 0.0000 0.0000  2 P 2.25

[11]
First-principles (PBE-GGA) data for a relaxed structure of AcAgS2, as listed in Alexandria.

Summary:
Total magnetization = 0.0 μB/cell
E_form (uncorrected) = -1332 meV per atom
Volume = 400.5 Å³ per cell
Raw total energy = -5.136 eV per atom

Cell lengths 4.1120, 8.7245, 11.1634 Å; angles 90.00, 90.00, 90.00 degrees
With the nearest neighbours (Å) after each atom.
Element x y z (fractional)
Ag1 0.2500 0.5675 0.9264  4 S 2.49-2.78
Ag2 0.7500 0.4325 0.0736  4 S 2.49-2.78
Ag3 0.2500 0.0675 0.5736  4 S 2.49-2.78
Ag4 0.7500 0.9325 0.4264  4 S 2.49-2.78
S1 0.2500 0.4768 0.7149  1 Ag 2.49
S2 0.2500 0.2697 0.0150  3 Ag 2.58-2.78
S3 0.7500 0.2303 0.5150  3 Ag 2.58-2.78
S4 0.7500 0.7303 0.9850  3 Ag 2.58-2.78
S5 0.7500 0.5232 0.2851  1 Ag 2.49
S6 0.2500 0.9768 0.7851  1 Ag 2.49
S7 0.7500 0.0232 0.2149  1 Ag 2.49
S8 0.2500 0.7697 0.4850  3 Ag 2.58-2.78
Ac1 0.7500 0.7369 0.6943  7 S 3.07-3.25
Ac2 0.2500 0.7631 0.1943  7 S 3.07-3.25
Ac3 0.2500 0.2631 0.3057  7 S 3.07-3.25
Ac4 0.7500 0.2369 0.8057  7 S 3.07-3.25

[12]
First-principles (PBE-GGA) data for a relaxed structure of TcNi2Se, as listed in Alexandria.

Summary:
Total magnetization = 0.0 μB/cell
E_form (uncorrected) = 225 meV per atom
Volume = 53.3 Å³ per cell
Raw total energy = -6.128 eV per atom
DOS at the Fermi energy = 4.65 states/eV/f.u.

Cell lengths 4.1376, 2.7851, 4.6253 Å; angles 90.01, 90.00, 90.00 degrees
With the nearest neighbours (Å) after each atom.
Element x y z (fractional)
Ni1 0.5000 0.1258 0.2722  2 Ni 2.49, 4 Tc 2.63-2.77, 4 Se 2.64-2.65
Ni2 0.0000 0.1257 0.9745  2 Ni 2.49, 4 Tc 2.64, 4 Se 2.65-2.75
Tc1 0.5000 0.6252 0.7897  2 Se 2.56, 8 Ni 2.63-2.77, 2 Tc 2.79
Se1 0.0000 0.6232 0.4636  2 Tc 2.56, 8 Ni 2.64-2.75, 2 Se 2.79

[13]
First-principles (PBE-GGA) data for a relaxed structure of Sm8Bi2Ir3, as listed in Alexandria.

Summary:
Total magnetization = 0.0 μB/cell
Volume = 450.5 Å³ per cell
DFT formation energy = -0.58 eV per atom
Raw total energy = -6.124 eV per atom
DOS at the Fermi energy = 7.35 states/eV/f.u.

Cell lengths 7.0251, 8.1812, 9.1276 Å; angles 116.63, 104.37, 90.00 degrees
With the nearest neighbours (Å) after each atom.
Element x y z (fractional)
Ir1 0.0000 0.2523 0.0000  6 Sm 2.76-2.82
Ir2 0.0000 0.7477 0.0000  6 Sm 2.76-2.82
Ir3 0.5000 0.0000 0.0000  6 Sm 2.81-2.83
Sm1 0.8877 0.5916 0.1832  2 Ir 2.76
Sm2 0.6050 0.1355 0.7931  2 Ir 2.81-2.82
Sm3 0.9015 0.0977 0.1954  3 Ir 2.81-2.83
Sm4 0.0985 0.9023 0.8046  3 Ir 2.81-2.83
Sm5 0.6050 0.6576 0.7931  2 Ir 2.81-2.82
Sm6 0.3950 0.3424 0.2069  2 Ir 2.81-2.82
Sm7 0.1123 0.4084 0.8168  2 Ir 2.76
Sm8 0.3950 0.8645 0.2069  2 Ir 2.81-2.82
Bi1 0.3333 0.2578 0.5156  6 Sm 3.25-3.41
Bi2 0.6667 0.7422 0.4844  6 Sm 3.25-3.41